No. 1
# PrMn2O6, optimized geometry, DFT PBE+U
# * SG: Pmn2_1, No. 31
# * density: 5305 kg/m³
# * energy above the lowest structure with this stoichiometry: 1.70 eV/f.u.
# * N(E_F): 0.321 states/eV/atom
# * total magnetization: 0.792 μB/atom
data_PrMn2O6
_chemical_formula_sum 'Pr2 Mn4 O12'
_cell_length_a 7.5476
_cell_length_b 5.3501
_cell_length_c 5.3767
_cell_angle_alpha 90.00
_cell_angle_beta 90.00
_cell_angle_gamma 90.00
_symmetry_space_group_name_H-M 'P 1'
_symmetry_Int_Tables_number 1
_symmetry_space_group_name_Hall 'P 1'
loop_
_atom_site_label
_atom_site_type_symbol
_atom_site_fract_x
_atom_site_fract_y
_atom_site_fract_z
Pr1 Pr 0.0000 0.2299 0.0000
Pr2 Pr 0.5000 0.7701 0.5000
Mn1 Mn 0.2492 0.7452 0.0024
Mn2 Mn 0.2508 0.2548 0.5024
Mn3 Mn 0.7492 0.2548 0.5024
Mn4 Mn 0.7508 0.7452 0.0024
O1 O 0.0000 0.2522 0.4478
O2 O 0.0000 0.7547 0.0626
O3 O 0.2186 0.4805 0.7748
O4 O 0.2220 0.9852 0.7412
O5 O 0.2780 0.0148 0.2412
O6 O 0.2814 0.5195 0.2748
O7 O 0.5000 0.2453 0.5626
O8 O 0.5000 0.7478 0.9478
O9 O 0.7186 0.5195 0.2748
O10 O 0.7220 0.0148 0.2412
O11 O 0.7780 0.9852 0.7412
O12 O 0.7814 0.4805 0.7748

No. 2
# Pr3MnO6, optimized geometry, DFT PBE+U
# * SG: Cmc2_1, No. 36
# * raw total energy: -8.003 eV per atom
# * density: 6058 kg/m³
# * total magnetization: 0.400 μB/atom
data_Pr3MnO6
_chemical_formula_sum 'Pr6 Mn2 O12'
_cell_length_a 7.4957
_cell_length_b 7.4957
_cell_length_c 5.7180
_cell_angle_alpha 90.00
_cell_angle_beta 90.00
_cell_angle_gamma 101.77
_symmetry_space_group_name_H-M 'P 1'
_symmetry_Int_Tables_number 1
_symmetry_space_group_name_Hall 'P 1'
loop_
_atom_site_label
_atom_site_type_symbol
_atom_site_fract_x
_atom_site_fract_y
_atom_site_fract_z
Pr1 Pr 0.1042 0.8958 0.5000
Pr2 Pr 0.1905 0.4126 0.4552
Pr3 Pr 0.4126 0.1905 0.9552
Pr4 Pr 0.5874 0.8095 0.4552
Pr5 Pr 0.8095 0.5874 0.9552
Pr6 Pr 0.8958 0.1042 0.0000
Mn1 Mn 0.3238 0.6762 0.9262
Mn2 Mn 0.6762 0.3238 0.4262
O1 O 0.0901 0.5983 0.7596
O2 O 0.1458 0.1698 0.7256
O3 O 0.1698 0.1458 0.2256
O4 O 0.2832 0.7168 0.2526
O5 O 0.4017 0.9099 0.7596
O6 O 0.4559 0.5441 0.7336
O7 O 0.5441 0.4559 0.2336
O8 O 0.5983 0.0901 0.2596
O9 O 0.7168 0.2832 0.7526
O10 O 0.8302 0.8542 0.7256
O11 O 0.8542 0.8302 0.2256
O12 O 0.9099 0.4017 0.2596

No. 3
# Pr3Mn5O12, optimized geometry, DFT PBE+U
# * SG: Ia-3d, No. 230
# * raw total energy: -7.770 eV per atom
# * density: 5569 kg/m³
# * N(E_F): 0.341 states/eV/atom
# * total magnetization: 1.000 μB/atom
data_Pr3Mn5O12
_chemical_formula_sum 'Pr12 Mn20 O48'
_cell_length_a 11.1280
_cell_length_b 11.1280
_cell_length_c 11.1280
_cell_angle_alpha 109.47
_cell_angle_beta 109.47
_cell_angle_gamma 109.47
_symmetry_space_group_name_H-M 'P 1'
_symmetry_Int_Tables_number 1
_symmetry_space_group_name_Hall 'P 1'
loop_
_atom_site_label
_atom_site_type_symbol
_atom_site_fract_x
_atom_site_fract_y
_atom_site_fract_z
Pr1 Pr 0.1250 0.2500 0.3750
Pr2 Pr 0.1250 0.3750 0.7500
Pr3 Pr 0.2500 0.3750 0.1250
Pr4 Pr 0.2500 0.8750 0.6250
Pr5 Pr 0.3750 0.1250 0.2500
Pr6 Pr 0.3750 0.7500 0.1250
Pr7 Pr 0.6250 0.2500 0.8750
Pr8 Pr 0.6250 0.8750 0.7500
Pr9 Pr 0.7500 0.1250 0.3750
Pr10 Pr 0.7500 0.6250 0.8750
Pr11 Pr 0.8750 0.6250 0.2500
Pr12 Pr 0.8750 0.7500 0.6250
Mn1 Mn 0.0000 0.0000 0.0000
Mn2 Mn 0.0000 0.0000 0.5000
Mn3 Mn 0.0000 0.5000 0.0000
Mn4 Mn 0.0000 0.5000 0.5000
Mn5 Mn 0.1250 0.7500 0.8750
Mn6 Mn 0.1250 0.8750 0.2500
Mn7 Mn 0.2500 0.1250 0.8750
Mn8 Mn 0.2500 0.6250 0.3750
Mn9 Mn 0.3750 0.2500 0.6250
Mn10 Mn 0.3750 0.6250 0.7500
Mn11 Mn 0.5000 0.0000 0.0000
Mn12 Mn 0.5000 0.0000 0.5000
Mn13 Mn 0.5000 0.5000 0.0000
Mn14 Mn 0.5000 0.5000 0.5000
Mn15 Mn 0.6250 0.3750 0.2500
Mn16 Mn 0.6250 0.7500 0.3750
Mn17 Mn 0.7500 0.3750 0.6250
Mn18 Mn 0.7500 0.8750 0.1250
Mn19 Mn 0.8750 0.1250 0.7500
Mn20 Mn 0.8750 0.2500 0.1250
O1 O 0.0257 0.1964 0.1196
O2 O 0.0257 0.3293 0.9061
O3 O 0.0768 0.6964 0.6707
O4 O 0.0768 0.8804 0.4061
O5 O 0.0939 0.6196 0.4232
O6 O 0.0939 0.9743 0.6707
O7 O 0.1196 0.0257 0.1964
O8 O 0.1196 0.5939 0.9232
O9 O 0.1707 0.1964 0.5768
O10 O 0.1707 0.4743 0.5939
O11 O 0.1964 0.1196 0.0257
O12 O 0.1964 0.5768 0.1707
O13 O 0.3036 0.3293 0.9232
O14 O 0.3036 0.4743 0.3804
O15 O 0.3293 0.9061 0.0257
O16 O 0.3293 0.9232 0.3036
O17 O 0.3804 0.3036 0.4743
O18 O 0.3804 0.5768 0.9061
O19 O 0.4061 0.0768 0.8804
O20 O 0.4061 0.8293 0.5257
O21 O 0.4232 0.0939 0.6196
O22 O 0.4232 0.8293 0.8036
O23 O 0.4743 0.3804 0.3036
O24 O 0.4743 0.5939 0.1707
O25 O 0.5257 0.4061 0.8293
O26 O 0.5257 0.6196 0.6964
O27 O 0.5768 0.1707 0.1964
O28 O 0.5768 0.9061 0.3804
O29 O 0.5939 0.1707 0.4743
O30 O 0.5939 0.9232 0.1196
O31 O 0.6196 0.4232 0.0939
O32 O 0.6196 0.6964 0.5257
O33 O 0.6707 0.0768 0.6964
O34 O 0.6707 0.0939 0.9743
O35 O 0.6964 0.5257 0.6196
O36 O 0.6964 0.6707 0.0768
O37 O 0.8036 0.4232 0.8293
O38 O 0.8036 0.8804 0.9743
O39 O 0.8293 0.5257 0.4061
O40 O 0.8293 0.8036 0.4232
O41 O 0.8804 0.4061 0.0768
O42 O 0.8804 0.9743 0.8036
O43 O 0.9061 0.0257 0.3293
O44 O 0.9061 0.3804 0.5768
O45 O 0.9232 0.1196 0.5939
O46 O 0.9232 0.3036 0.3293
O47 O 0.9743 0.6707 0.0939
O48 O 0.9743 0.8036 0.8804

No. 4
# Pr2PuMnO8, optimized geometry, DFT PBE+U
# * SG: P-1, No. 2
# * raw total energy: -8.486 eV per atom
# * density: 6557 kg/m³
# * total magnetization: 0.415 μB/atom
data_Pr2PuMnO8
_chemical_formula_sum 'Pr2 Pu1 Mn1 O8'
_cell_length_a 4.7058
_cell_length_b 5.2658
_cell_length_c 7.3221
_cell_angle_alpha 84.31
_cell_angle_beta 88.47
_cell_angle_gamma 83.87
_symmetry_space_group_name_H-M 'P 1'
_symmetry_Int_Tables_number 1
_symmetry_space_group_name_Hall 'P 1'
loop_
_atom_site_label
_atom_site_type_symbol
_atom_site_fract_x
_atom_site_fract_y
_atom_site_fract_z
Pr1 Pr 0.0986 0.0119 0.2384
Pr2 Pr 0.9014 0.9881 0.7616
Pu1 Pu 0.5000 0.5000 0.5000
Mn1 Mn 0.5000 0.5000 0.0000
O1 O 0.1514 0.7302 0.5271
O2 O 0.2208 0.7914 0.9834
O3 O 0.3474 0.3815 0.2408
O4 O 0.3701 0.2216 0.6633
O5 O 0.6299 0.7784 0.3367
O6 O 0.6526 0.6185 0.7592
O7 O 0.7792 0.2086 0.0166
O8 O 0.8486 0.2698 0.4729

No. 5
# Rb2PrMnO4, optimized geometry, DFT PBE+U
# * SG: I-4, No. 82
# * raw total energy: -6.205 eV per atom
# * density: 4512 kg/m³
# * total magnetization: 0.500 μB/atom
data_Rb2PrMnO4
_chemical_formula_sum 'Rb2 Pr1 Mn1 O4'
_cell_length_a 5.9663
_cell_length_b 5.9663
_cell_length_c 5.9663
_cell_angle_alpha 115.62
_cell_angle_beta 115.62
_cell_angle_gamma 97.77
_symmetry_space_group_name_H-M 'P 1'
_symmetry_Int_Tables_number 1
_symmetry_space_group_name_Hall 'P 1'
loop_
_atom_site_label
_atom_site_type_symbol
_atom_site_fract_x
_atom_site_fract_y
_atom_site_fract_z
Rb1 Rb 0.0000 0.0000 0.0000
Rb2 Rb 0.7500 0.2500 0.5000
Pr1 Pr 0.2500 0.7500 0.5000
Mn1 Mn 0.5000 0.5000 0.0000
O1 O 0.2626 0.1694 0.6116
O2 O 0.3490 0.7374 0.9068
O3 O 0.5578 0.6510 0.3884
O4 O 0.8306 0.4422 0.0932

No. 6
# RbPrMn2O8, optimized geometry, DFT PBE+U
# * SG: P-3, No. 147
# * raw total energy: -6.448 eV per atom
# * density: 3147 kg/m³
# * N(E_F): 0.732 states/eV/atom
# * total magnetization: 0.167 μB/atom
data_RbPrMn2O8
_chemical_formula_sum 'Rb1 Pr1 Mn2 O8'
_cell_length_a 5.8651
_cell_length_b 5.8651
_cell_length_c 8.2235
_cell_angle_alpha 90.00
_cell_angle_beta 90.00
_cell_angle_gamma 120.00
_symmetry_space_group_name_H-M 'P 1'
_symmetry_Int_Tables_number 1
_symmetry_space_group_name_Hall 'P 1'
loop_
_atom_site_label
_atom_site_type_symbol
_atom_site_fract_x
_atom_site_fract_y
_atom_site_fract_z
Rb1 Rb 0.0000 0.0000 0.0000
Pr1 Pr 0.0000 0.0000 0.5000
Mn1 Mn 0.3333 0.6667 0.7544
Mn2 Mn 0.6667 0.3333 0.2456
O1 O 0.1722 0.3562 0.6849
O2 O 0.1840 0.8278 0.6849
O3 O 0.3333 0.6667 0.9521
O4 O 0.3562 0.1840 0.3151
O5 O 0.6438 0.8160 0.6849
O6 O 0.6667 0.3333 0.0479
O7 O 0.8160 0.1722 0.3151
O8 O 0.8278 0.6438 0.3151